Entry 1:
RuF6 | SCAN | single point on PBEsol structure

a b c (Å): 6.318 6.318 6.318
angles (deg): 90.00 90.00 90.00
Positions (direct):
Ru: 0.000 0.000 0.000
Ru: 0.500 0.500 0.500
F: 0.000 0.000 0.290
F: 0.000 0.000 0.710
F: 0.000 0.290 0.000
F: 0.000 0.710 0.000
F: 0.210 0.500 0.500
F: 0.290 0.000 0.000
F: 0.500 0.210 0.500
F: 0.500 0.500 0.210
F: 0.500 0.500 0.790
F: 0.500 0.790 0.500
F: 0.710 0.000 0.000
F: 0.790 0.500 0.500

Output
- symmetry = Im-3m (229)
- theoretical density (Mg/m³) = 2.83
- density of states at the Fermi level (states/eV/f.u.) = 10.16
- ΔE_f (raw) (eV/atom) = -1.5914
- E_tot (eV per atom) = -9.601

=====

Entry 2:
KIrAu2 | SCAN | single point on PBEsol structure

a b c (Å): 2.674 5.467 11.112
angles (deg): 90.00 90.00 90.00
Positions (direct):
K: 0.000 0.000 0.000
K: 0.500 0.500 0.500
Ir: 0.000 0.000 0.500
Ir: 0.500 0.500 0.000
Au: 0.000 0.500 0.209
Au: 0.000 0.500 0.791
Au: 0.500 0.000 0.291
Au: 0.500 0.000 0.709

Output
- offset from the most stable computed form (meV per atom) = 45
- symmetry = Immm (71)
- theoretical density (Mg/m³) = 12.78
- density of states at the Fermi level (states/eV/f.u.) = 1.93
- calculated formation energy (eV/atom) = 0.4076
- E_tot (eV per atom) = -54.028

=====

Entry 3:
LaYOs2 | SCAN | single point on PBEsol structure

a b c (Å): 4.333 4.433 10.109
angles (deg): 90.00 90.00 90.00
Positions (direct):
La: 0.000 0.000 0.000
La: 0.000 0.500 0.500
Y: 0.500 0.000 0.707
Y: 0.500 0.500 0.207
Os: 0.000 0.000 0.295
Os: 0.000 0.500 0.795
Os: 0.500 0.000 0.395
Os: 0.500 0.500 0.895

Output
- offset from the most stable computed form (meV per atom) = 0
- symmetry = Amm2 (38)
- theoretical density (Mg/m³) = 10.40
- density of states at the Fermi level (states/eV/f.u.) = 2.49
- calculated formation energy (eV/atom) = -0.2396
- E_tot (eV per atom) = -53.917

=====

Entry 4:
TcAu2Br | SCAN | single point on PBEsol structure

a b c (Å): 2.868 4.999 9.910
angles (deg): 90.00 90.00 90.00
Positions (direct):
Tc: 0.000 0.000 0.000
Tc: 0.500 0.500 0.000
Au: 0.000 0.500 0.232
Au: 0.000 0.500 0.768
Au: 0.500 0.000 0.232
Au: 0.500 0.000 0.768
Br: 0.000 0.000 0.500
Br: 0.500 0.500 0.500

Output
- offset from the most stable computed form (meV per atom) = 180
- symmetry = Cmmm (65)
- theoretical density (Mg/m³) = 13.37
- density of states at the Fermi level (states/eV/f.u.) = 2.30
- ΔE_f (raw) (eV/atom) = 0.5741
- E_tot (eV per atom) = -47.634